## CdRhC2 (PBE)

Data for a relaxed structure of CdRhC2.

Cell: 5.0790 5.0790 5.8192 Å, 64.13 64.13 90.00°
Positions (direct):
C 0.8750 0.8061 0.7500
Rh 0.2500 0.7500 0.5000
Cd 0.7500 0.2500 0.5000
C 0.1939 0.6250 0.2500
Cd 0.0000 0.0000 0.0000
C 0.3750 0.4439 0.7500
Rh 0.5000 0.5000 0.0000
C 0.5561 0.1250 0.2500

Values from the calculation:
**Formation energy**: 4.62 eV per formula unit
**Space-group type**: I-42d

***

## LiCIO2 (PBE)

Data for a relaxed structure of LiCIO2.

Cell: 3.4640 3.4640 6.4943 Å, 90.00 90.00 90.00°
Last column: magnetic moment on the atom in μB.
Positions (direct):
C 0.5000 0.5000 0.5000  0.37
O 0.0000 0.5000 0.0000  0.00
Li 0.0000 0.0000 0.0000  0.01
O 0.5000 0.0000 0.0000  0.00
I 0.0000 0.0000 0.5000  0.00

Values from the calculation:
**Distance to the lowest polymorph of the same formula**: 0.5620 eV per atom
**Space-group type**: P4/mmm

***

## K17Rb11Hg (PBE)

Data for a relaxed structure of K17Rb11Hg.

Cell: 14.6009 14.6009 13.7503 Å, 109.08 109.08 111.28°
Positions (direct):
Rb 0.0201 0.8387 0.6371
K 0.6647 0.6647 0.2732
Rb 0.1903 0.3684 0.3215
K 0.3172 0.0117 0.6011
K 0.3101 0.5894 0.0026
Rb 0.6152 0.9959 0.7911
Rb 0.2494 0.2494 0.9643
K 0.7055 0.4131 0.3893
K 0.9688 0.9688 0.9882
K 0.3726 0.3726 0.7010
K 0.9982 0.9982 0.3575
Rb 0.3684 0.1903 0.3215
K 0.3719 0.9748 0.9825
Rb 0.1954 0.8186 0.2026
Rb 0.8387 0.0201 0.6371
K 0.4131 0.7055 0.3893
K 0.6597 0.2704 0.6575
K 0.5894 0.3101 0.0026
Rb 0.7969 0.6122 0.9926
K 0.6252 0.6252 0.6234
Hg 0.4574 0.4574 0.2934
K 0.9967 0.5919 0.3219
K 0.0117 0.3172 0.6011
K 0.2704 0.6597 0.6575
Rb 0.8186 0.1954 0.2026
K 0.9748 0.3719 0.9825
Rb 0.9959 0.6152 0.7911
Rb 0.6122 0.7969 0.9926
K 0.5919 0.9967 0.3219

Values from the calculation:
**Formation energy**: 0.10 eV per formula unit
**Space-group type**: Cm

***

How do the records compare in spin magnetization? In the order shown, they have 0.000 0.734 0.000 μB per cell.